## PtCl (PBE)

Data for PtCl after structural relaxation.

Structure (CIF):
```
data_PtCl
_chemical_formula_sum 'Pt2 Cl2'
_space_group_name_H-M_alt 'P 1 21/m 1'
_space_group_IT_number 11
_space_group_name_Hall '-P 2yb'
_cell_length_a 2.816
_cell_length_b 3.590
_cell_length_c 8.586
_cell_angle_alpha 90.00
_cell_angle_beta 98.80
_cell_angle_gamma 90.00
loop_
_atom_site_label
_atom_site_type_symbol
_atom_site_fract_x
_atom_site_fract_y
_atom_site_fract_z
_atom_site_occupancy
Pt1 Pt 0.049 0.250 0.106 1
Cl1 Cl 0.139 0.750 0.300 1
```

The value obtained for the calculated total energy is -3.99 eV/atom. The calculation puts the formation energy without anion corrections at -46 meV/atom.